A plane-wave DFT calculation with GGA+U was carried out for AlNi2AgF8 after structural relaxation.

Unit cell a=4.725 b=4.761 c=6.563 alpha=89.87 beta=89.85 gamma=87.90
Space group P-1 (No. 2)
Inequivalent atoms, fractional coordinates:
Al  0.000  0.000  0.000 (multiplicity 1)
Ni  0.499  0.500  0.754 (multiplicity 2)
Ag  0.000  0.000  0.500 (multiplicity 1)
F  0.202  0.806  0.192 (multiplicity 2)
F  0.203  0.807  0.808 (multiplicity 2)
F  0.279  0.286  0.000 (multiplicity 2)
F  0.322  0.336  0.500 (multiplicity 2)

DOS at the Fermi energy: 0.00 states/eV/cell
energy: -54.98 eV per cell
ρ: 4.550 Mg/m³